# ScCrInF6 PBE with a Hubbard U relaxed
data_ScCrInF6
_chemical_formula_sum 'Sc1 Cr1 In1 F6'
_cell_length_a 5.647
_cell_length_b 5.647
_cell_length_c 5.829
_cell_angle_alpha 90.46
_cell_angle_beta 90.46
_cell_angle_gamma 117.78
_symmetry_space_group_name_H-M 'P 1'
_symmetry_Int_Tables_number 1
loop_
_symmetry_equiv_pos_as_xyz
'x,y,z'
loop_
_atom_site_label
_atom_site_type_symbol
_atom_site_fract_x
_atom_site_fract_y
_atom_site_fract_z
Sc1 Sc 0.000 0.000 0.000
Cr1 Cr 0.665 0.335 0.000
In1 In 0.322 0.678 0.500
F1 F 0.287 0.019 0.215
F2 F 0.325 0.285 0.830
F3 F 0.708 0.048 0.814
F4 F 0.715 0.675 0.170
F5 F 0.952 0.292 0.186
F6 F 0.981 0.713 0.785
# symmetry: C2 (5)
# electronic total energy: -6.0562 eV/atom
# density: 3.290 g cm⁻³
# magnetization: 4.00 μB per formula unit